Compound: SmCoSb3
Source: the Alexandria database
Functional: PBE-GGA
Structure: relaxed

```
SmCoSb3
1.0
5.991 0.000 0.000
0.000 6.142 0.000
0.000 0.000 12.696
Sb Sm Co
12 4 4
Cartesian
1.498 0.569 12.008 Sb
2.995 4.606 6.372 Sb
1.498 6.137 2.747 Sb
4.493 3.075 2.747 Sb
4.493 0.004 9.949 Sb
0.000 4.606 6.372 Sb
2.995 1.535 6.324 Sb
1.498 3.066 9.949 Sb
0.000 1.535 6.324 Sb
4.493 2.502 12.008 Sb
4.493 5.573 0.688 Sb
1.498 3.640 0.688 Sb
1.498 3.081 3.857 Sm
1.498 0.010 8.839 Sm
4.493 3.061 8.839 Sm
4.493 6.132 3.857 Sm
2.995 4.606 11.489 Co
0.000 4.606 11.489 Co
2.995 1.535 1.207 Co
0.000 1.535 1.207 Co
```

Results
- space-group type = Pbcm (57)
- formation energy without anion corrections (eV per formula unit) = -2.62
- energy (eV per atom) = -5.36
- polymorph energy (0 for the lowest one) (meV per atom) = 43
- N(E_F) (states/eV per cell) = 12.66

Compound: Co2SnSb2
Source: the Alexandria database
Functional: PBE-GGA
Structure: relaxed

```
Co2SnSb2
1.0
7.632 0.000 0.000
0.000 7.632 0.000
0.000 0.000 3.158
Co Sb Sn
4 4 2
Cartesian
4.813 0.997 0.000 Co
6.636 4.813 0.000 Co
0.997 2.819 0.000 Co
2.819 6.636 0.000 Co
1.168 4.985 1.579 Sb
4.985 6.464 1.579 Sb
6.464 2.648 1.579 Sb
2.648 1.168 1.579 Sb
0.000 0.000 0.000 Sn
3.816 3.816 0.000 Sn
```

Results
- space-group type = P4/mbm (127)
- formation energy without anion corrections (eV per formula unit) = 1.02
- energy (eV per atom) = -5.09
- polymorph energy (0 for the lowest one) (meV per atom) = 23
- N(E_F) (states/eV per cell) = 10.84

Compound: Co3Sn5Sb
Source: the Alexandria database
Functional: PBE-GGA
Structure: relaxed

```
Co3Sn5Sb
1.0
-1.917 1.904 -2.246
-4.459 0.381 4.129
7.617 15.380 6.536
Sn Co Sb
10 6 2
Cartesian
1.133 12.581 6.950 Sn
1.188 9.066 6.672 Sn
-1.401 7.497 4.803 Sn
5.181 15.353 5.845 Sn
1.970 6.695 3.994 Sn
-0.545 1.610 1.830 Sn
0.108 5.084 1.470 Sn
3.703 14.151 8.835 Sn
2.642 10.168 3.616 Sn
-3.940 2.312 2.575 Sn
-1.906 5.475 6.269 Co
-1.933 3.759 2.088 Co
0.000 0.000 0.000 Co
3.173 13.906 6.331 Co
0.620 8.833 4.210 Co
5.064 10.286 4.396 Co
-1.358 3.913 4.477 Sb
4.516 11.848 6.189 Sb
```

Results
- space-group type = P2/m (10)
- formation energy without anion corrections (eV per formula unit) = -0.53
- energy (eV per atom) = -5.11
- N(E_F) (states/eV per cell) = 10.57

Compound: Co2SnSb
Source: the Alexandria database
Functional: PBE-GGA
Structure: relaxed

```
Co2SnSb
1.0
0.000 3.175 3.175
3.175 0.000 3.175
3.175 3.175 0.000
Co Sb Sn
2 1 1
Cartesian
4.763 4.763 4.763 Co
1.588 1.588 1.588 Co
3.175 3.175 3.175 Sb
0.000 0.000 0.000 Sn
```

Results
- space-group type = Fm-3m (225)
- formation energy without anion corrections (eV per formula unit) = 0.95
- energy (eV per atom) = -5.35
- polymorph energy (0 for the lowest one) (meV per atom) = 0
- N(E_F) (states/eV per cell) = 6.79

Compound: Co2SnSb
Source: the Alexandria database
Functional: PBE-GGA
Structure: relaxed

```
Co2SnSb
1.0
-5.492 2.804 -2.991
-4.085 -3.317 4.391
-4.632 2.123 2.644
Co Sb Sn
4 2 2
Cartesian
-4.337 -1.223 3.065 Co
-5.162 1.899 -0.692 Co
-11.899 1.107 3.257 Co
-7.020 1.436 2.460 Co
0.000 0.000 0.000 Sb
-7.456 2.335 0.177 Sb
-6.753 -0.725 3.868 Sn
-4.789 -0.257 0.700 Sn
```

Results
- space-group type = I-42d (122)
- formation energy without anion corrections (eV per formula unit) = 1.99
- energy (eV per atom) = -5.09
- polymorph energy (0 for the lowest one) (meV per atom) = 259
- N(E_F) (states/eV per cell) = 9.75

Compound: CoSn6Sb
Source: the Alexandria database
Functional: PBE-GGA
Structure: relaxed

```
CoSn6Sb
1.0
7.905 -0.262 -2.852
-4.023 6.918 -2.579
0.061 0.150 8.409
Sn Sb Co
12 2 2
Cartesian
0.662 5.541 1.715 Sn
-1.354 4.263 4.258 Sn
2.245 5.410 -2.565 Sn
1.002 3.279 -0.826 Sn
1.698 1.396 5.545 Sn
0.102 2.060 2.598 Sn
5.297 2.542 -1.278 Sn
2.941 3.527 3.806 Sn
3.841 4.746 0.382 Sn
5.934 0.764 2.547 Sn
3.281 1.265 1.265 Sn
-1.990 6.042 0.433 Sn
-2.011 3.459 -1.289 Sb
3.952 -0.131 -1.426 Sb
1.972 3.403 1.490 Co
0.031 0.075 4.205 Co
```

Results
- space-group type = C2/m (12)
- formation energy without anion corrections (eV per formula unit) = 0.33
- energy (eV per atom) = -4.36
- N(E_F) (states/eV per cell) = 7.51

Compound: CoSnSb3
Source: the Alexandria database
Functional: PBE-GGA
Structure: relaxed

```
CoSnSb3
1.0
-1.913 3.002 3.526
-0.054 -3.829 3.231
4.631 1.195 1.494
Sb Co Sn
3 1 1
Cartesian
-0.027 -1.915 1.615 Sb
2.315 0.598 0.747 Sb
-0.956 1.501 1.763 Sb
0.000 0.000 0.000 Co
1.332 0.184 4.126 Sn
```

Results
- space-group type = Pm-3m (221)
- formation energy without anion corrections (eV per formula unit) = 1.55
- energy (eV per atom) = -4.39
- polymorph energy (0 for the lowest one) (meV per atom) = 338
- N(E_F) (states/eV per cell) = 5.19

Compound: CoSnSb2
Source: the Alexandria database
Functional: PBE-GGA
Structure: relaxed

```
CoSnSb2
1.0
3.249 0.000 0.000
1.625 2.814 0.000
1.625 0.938 10.722
Sn Sb Co
1 2 1
Cartesian
3.249 1.876 5.361 Sn
1.625 0.938 8.251 Sb
4.874 2.814 2.472 Sb
0.000 0.000 0.000 Co
```

Results
- space-group type = R-3m (166)
- formation energy without anion corrections (eV per formula unit) = 2.23
- energy (eV per atom) = -4.28
- N(E_F) (states/eV per cell) = 5.21

Compound: CoSnSb3
Source: the Alexandria database
Functional: PBE-GGA
Structure: relaxed

```
CoSnSb3
1.0
-2.795 3.731 -3.697
-5.123 -0.515 3.354
0.498 5.060 4.730
Sn Sb Co
2 6 2
Cartesian
-2.570 3.818 -3.109 Sn
-2.591 5.636 3.529 Sn
-2.255 6.580 -0.280 Sb
-4.973 5.758 6.016 Sb
-4.484 7.804 2.922 Sb
-2.741 2.656 0.916 Sb
-5.099 5.721 0.075 Sb
-5.563 3.725 3.198 Sb
-3.668 3.809 4.914 Co
-5.205 3.249 0.723 Co
```

Results
- space-group type = P2_1 (4)
- formation energy without anion corrections (eV per formula unit) = -0.14
- energy (eV per atom) = -4.72
- polymorph energy (0 for the lowest one) (meV per atom) = 0
- N(E_F) (states/eV per cell) = 3.65

Compound: Co2Sn2Sb
Source: the Alexandria database
Functional: PBE-GGA
Structure: relaxed

```
Co2Sn2Sb
1.0
7.576 0.000 0.000
0.000 7.576 0.000
0.000 0.000 3.100
Co Sn Sb
4 4 2
Cartesian
6.481 4.883 0.000 Co
4.883 1.095 0.000 Co
2.693 6.481 0.000 Co
1.095 2.693 0.000 Co
2.654 1.134 1.550 Sn
6.442 2.654 1.550 Sn
4.922 6.442 1.550 Sn
1.134 4.922 1.550 Sn
3.788 3.788 0.000 Sb
0.000 0.000 0.000 Sb
```

Results
- space-group type = P4/mbm (127)
- formation energy without anion corrections (eV per formula unit) = 0.76
- energy (eV per atom) = -5.12
- polymorph energy (0 for the lowest one) (meV per atom) = 163
- N(E_F) (states/eV per cell) = 5.17

Compound: Co2Sn2Sb
Source: the Alexandria database
Functional: PBE-GGA
Structure: relaxed

```
Co2Sn2Sb
1.0
3.995 0.000 0.000
0.000 5.213 0.068
0.000 0.545 9.082
Sb Sn Co
2 4 4
Cartesian
0.999 3.140 1.934 Sb
2.997 2.618 7.216 Sb
2.997 1.488 4.205 Sn
0.999 4.270 4.945 Sn
0.999 5.118 8.065 Sn
2.997 0.640 1.085 Sn
2.997 3.408 0.273 Co
0.999 2.350 8.877 Co
0.999 1.596 6.050 Co
2.997 4.162 3.100 Co
```

Results
- space-group type = P2_1/m (11)
- formation energy without anion corrections (eV per formula unit) = -0.06
- energy (eV per atom) = -5.28
- polymorph energy (0 for the lowest one) (meV per atom) = 0
- N(E_F) (states/eV per cell) = 7.25

Compound: Co2SnSb2
Source: the Alexandria database
Functional: PBE-GGA
Structure: relaxed

```
Co2SnSb2
1.0
-3.830 1.652 1.193
0.833 -1.047 4.127
0.844 5.181 3.425
Sn Sb Co
1 2 2
Cartesian
0.000 0.000 0.000 Sn
-1.294 4.150 5.876 Sb
-0.858 1.635 2.869 Sb
-2.242 3.567 3.639 Co
0.090 2.218 5.106 Co
```

Results
- space-group type = I4/mmm (139)
- formation energy without anion corrections (eV per formula unit) = 0.91
- energy (eV per atom) = -5.11
- polymorph energy (0 for the lowest one) (meV per atom) = 0
- N(E_F) (states/eV per cell) = 3.85